(1)
Crystalline La8Tm6Mg at its relaxed geometry, computed with PBE.

Values from the calculation:
M_tot in μB/cell: 0.0
ΔE_f in eV per formula unit: 2.00

abc: 9.323 9.323 6.662
angles: 90.00 90.00 120.00
Fractional positions:
La 0.047 0.761 0.170
La 0.239 0.286 0.170
La 0.286 0.047 0.830
La 0.333 0.667 0.128
La 0.667 0.333 0.872
La 0.714 0.953 0.170
La 0.761 0.714 0.830
La 0.953 0.239 0.830
Tm 0.102 0.658 0.652
Tm 0.342 0.444 0.652
Tm 0.444 0.102 0.348
Tm 0.556 0.898 0.652
Tm 0.658 0.556 0.348
Tm 0.898 0.342 0.348
Mg 0.000 0.000 0.500


(2)
Crystalline LaTm2Mg at its relaxed geometry, computed with PBE.

Values from the calculation:
ΔE to the lowest computed polymorph in meV per atom: 12
M_tot in μB/cell: 0.0
ΔE_f in eV per formula unit: -0.02

abc: 3.678 3.678 8.928
angles: 90.00 90.00 90.00
Fractional positions:
La 0.000 0.000 0.000
Tm 0.500 0.500 0.282
Tm 0.500 0.500 0.718
Mg 0.000 0.000 0.500


Please write out number 1 again, unchanged.
Crystalline La8Tm6Mg at its relaxed geometry, computed with PBE.

Values from the calculation:
M_tot in μB/cell: 0.0
ΔE_f in eV per formula unit: 2.00

abc: 9.323 9.323 6.662
angles: 90.00 90.00 120.00
Fractional positions:
La 0.047 0.761 0.170
La 0.239 0.286 0.170
La 0.286 0.047 0.830
La 0.333 0.667 0.128
La 0.667 0.333 0.872
La 0.714 0.953 0.170
La 0.761 0.714 0.830
La 0.953 0.239 0.830
Tm 0.102 0.658 0.652
Tm 0.342 0.444 0.652
Tm 0.444 0.102 0.348
Tm 0.556 0.898 0.652
Tm 0.658 0.556 0.348
Tm 0.898 0.342 0.348
Mg 0.000 0.000 0.500


Number 2 is which compound?
LaTm2Mg


What is the ΔE_f in the second record?
-0.02 eV per formula unit